No. 1
P3RhO after structural relaxation. Source: the Alexandria database, functional PBE.

Unit cell a=4.0735 b=4.0735 c=4.0735 alpha=90.00 beta=90.00 gamma=90.00
Sites, in units of the cell vectors:
P  0.5000  0.0000  0.0000
P  0.0000  0.0000  0.5000
P  0.0000  0.5000  0.0000
Rh  0.5000  0.5000  0.5000
O  0.0000  0.0000  0.0000

E above lowest polymorph ... 0.00 kJ/mol of atoms
DOS(E_F) ... 0.166 states/eV per atom
SG ... Pm-3m, No. 221
E_form (uncorrected) ... 2.13 eV per formula unit

No. 2
Nd7Sb2Pb2 after structural relaxation. Source: the Alexandria database, functional PBE.

Unit cell a=7.4041 b=7.2206 c=7.4041 alpha=90.00 beta=103.52 gamma=90.00
Sites, in units of the cell vectors:
Nd  0.5003  0.7205  0.9998
Nd  0.4998  0.2559  0.5002
Nd  0.0000  0.0000  0.0000
Nd  0.5002  0.7441  0.4998
Nd  0.9998  0.2795  0.5003
Nd  0.0002  0.7205  0.4997
Nd  0.4997  0.2795  0.0002
Pb  0.1815  0.5000  0.1815
Pb  0.8185  0.5000  0.8185
Sb  0.2738  0.0000  0.7262
Sb  0.7262  0.0000  0.2738

DOS(E_F) ... 1.203 states/eV per atom
SG ... Cmmm, No. 65
E_form (uncorrected) ... -4.54 eV per formula unit

No. 3
La2Si3SnIr4 after structural relaxation. Source: the Alexandria database, functional PBE.

Unit cell a=4.2691 b=4.2691 c=10.3134 alpha=90.00 beta=90.00 gamma=90.00
Sites, in units of the cell vectors:
Ir  0.5000  0.0000  0.6444
Ir  0.0000  0.0000  0.0000
Ir  0.0000  0.5000  0.3556
Ir  0.5000  0.5000  0.0000
Si  0.5000  0.0000  0.8770
Si  0.0000  0.0000  0.5000
Si  0.0000  0.5000  0.1230
La  0.0000  0.5000  0.7531
La  0.5000  0.0000  0.2469
Sn  0.5000  0.5000  0.5000

DOS(E_F) ... 0.648 states/eV per atom
SG ... P-4m2, No. 115
E_form (uncorrected) ... -8.97 eV per formula unit

No. 4
Sm4Th3Tc2 after structural relaxation. Source: the Alexandria database, functional PBE.

Unit cell a=3.8903 b=8.8771 c=8.8569 alpha=113.97 beta=102.69 gamma=90.00
Sites, in units of the cell vectors:
Tc  0.4018  0.5792  0.8036
Tc  0.5982  0.4208  0.1964
Th  0.0856  0.1940  0.1713
Th  0.9144  0.8060  0.8287
Th  0.0000  0.5000  0.0000
Sm  0.7734  0.3467  0.5468
Sm  0.2266  0.6533  0.4532
Sm  0.6099  0.8685  0.2198
Sm  0.3901  0.1315  0.7802

DOS(E_F) ... 1.234 states/eV per atom
Energy relative to the elements ... -41 kJ/mol of formula units
SG ... C2/m, No. 12

No. 5
Cs2ZrAgS4 after structural relaxation. Source: the Alexandria database, functional PBE.

Unit cell a=6.1486 b=7.8812 c=13.2013 alpha=84.79 beta=76.53 gamma=67.04
Sites, in units of the cell vectors:
S  0.9146  0.8072  0.8951
S  0.1331  0.3072  0.3951
S  0.4718  0.6928  0.3951
S  0.8354  0.6928  0.6049
S  0.6169  0.1928  0.1049
S  0.2782  0.8072  0.1049
S  0.5597  0.3072  0.6049
S  0.1903  0.1928  0.8951
Cs  0.5725  0.5000  0.8549
Cs  0.8225  0.0000  0.3549
Cs  0.1775  0.0000  0.6451
Cs  0.9275  0.5000  0.1451
Zr  0.7500  0.5000  0.5000
Zr  0.0000  0.0000  0.0000
Ag  0.5000  0.0000  0.0000
Ag  0.2500  0.5000  0.5000

DOS(E_F) ... 0.992 states/eV per atom
SG ... Fddd, No. 70
E_form (uncorrected) ... -8.31 eV per formula unit

No. 6
GdErHg after structural relaxation. Source: the Alexandria database, functional PBE.

Unit cell a=3.6345 b=3.6345 c=6.8611 alpha=105.36 beta=105.36 gamma=90.00
Site moments in Bohr magnetons follow the coordinates.
Sites, in units of the cell vectors:
Er  0.2995  0.2995  0.5989  0.33
Gd  0.6060  0.6060  0.2119  7.34
Hg  0.9446  0.9446  0.8892  0.00

E above lowest polymorph ... 0.00 kJ/mol of atoms
DOS(E_F) ... 1.020 states/eV per atom
Energy relative to the elements ... -93 kJ/mol of formula units
SG ... I4mm, No. 107

No. 7
CaYBe4 after structural relaxation. Source: the Alexandria database, functional PBE.

Unit cell a=5.0849 b=5.0849 c=5.0849 alpha=60.00 beta=60.00 gamma=60.00
Sites, in units of the cell vectors:
Ca  0.7500  0.7500  0.7500
Be  0.3686  0.3686  0.3686
Be  0.3686  0.3686  0.8941
Be  0.3686  0.8941  0.3686
Be  0.8941  0.3686  0.3686
Y  0.0000  0.0000  0.0000

DOS(E_F) ... 0.442 states/eV per atom
Energy relative to the elements ... 116 kJ/mol of formula units
SG ... F-43m, No. 216

No. 8
PmZr2Pt after structural relaxation. Source: the Alexandria database, functional PBE.

Unit cell a=3.4379 b=3.4379 c=7.7442 alpha=90.00 beta=90.00 gamma=90.00
Sites, in units of the cell vectors:
Pt  0.5000  0.5000  0.0000
Pm  0.5000  0.5000  0.5000
Zr  0.0000  0.0000  0.7966
Zr  0.0000  0.0000  0.2034

DOS(E_F) ... 0.985 states/eV per atom
Energy relative to the elements ... -156 kJ/mol of formula units
SG ... P4/mmm, No. 123

Q: Which of these has the lowest DOS(E_F)?
A: P3RhO